1.
# NaY3Ti

An optimized crystal structure of NaY3Ti (GGA-PBE, Alexandria via LeMat-Bulk).

Lattice parameters (Å, degrees): 5.541 5.541 5.541 90.00 90.00 90.00
Space group Pm-3m (No. 221)
Symmetry-distinct sites (fractional):
Na1 0.000 0.000 0.000 x1
Y1 0.000 0.500 0.500 x3
Ti1 0.500 0.500 0.500 x1

## Properties
Density, g/cm³: 3.3
E, eV per formula unit: -26.1
ΔH_f (0 K), eV/atom: 0.500
ΔE to the lowest computed polymorph, eV per atom: 0.0000


2.
# Na3TiZn

An optimized crystal structure of Na3TiZn (GGA-PBE, Alexandria via LeMat-Bulk).

Lattice parameters (Å, degrees): 5.434 5.434 5.434 90.00 90.00 90.00
Space group Pm-3m (No. 221)
Symmetry-distinct sites (fractional):
Na1 0.000 0.000 0.500 x3
Ti1 0.500 0.500 0.500 x1
Zn1 0.000 0.000 0.000 x1

## Properties
Density, g/cm³: 1.9
E, eV per formula unit: -8.4
ΔH_f (0 K), eV/atom: 0.941
ΔE to the lowest computed polymorph, eV per atom: 0.0000


3.
# NaTiZn3

An optimized crystal structure of NaTiZn3 (GGA-PBE, Alexandria via LeMat-Bulk).

Lattice parameters (Å, degrees): 5.119 5.119 5.119 90.00 90.00 90.00
Space group Pm-3m (No. 221)
Symmetry-distinct sites (fractional):
Na1 0.000 0.000 0.000 x1
Ti1 0.500 0.500 0.500 x1
Zn1 0.000 0.500 0.500 x3

## Properties
Density, g/cm³: 3.3
E, eV per formula unit: -10.2
ΔH_f (0 K), eV/atom: 0.564
ΔE to the lowest computed polymorph, eV per atom: 0.0000


4.
# Na3TiZn

An optimized crystal structure of Na3TiZn (GGA-PBE, Alexandria via LeMat-Bulk).

Lattice parameters (Å, degrees): 6.079 6.079 6.079 90.00 90.00 90.00
Space group Pm-3m (No. 221)
Symmetry-distinct sites (fractional):
Na1 0.000 0.000 0.500 x3
Ti1 0.000 0.000 0.000 x1
Zn1 0.500 0.500 0.500 x1

## Properties
Density, g/cm³: 1.3
E, eV per formula unit: -7.6
ΔH_f (0 K), eV/atom: 1.106
ΔE to the lowest computed polymorph, eV per atom: 0.1654


5.
# NaZr2Ti2

An optimized crystal structure of NaZr2Ti2 (GGA-PBE, Alexandria via LeMat-Bulk).

Lattice parameters (Å, degrees): 8.474 8.474 3.106 90.00 90.00 90.00
Space group P4/mbm (No. 127)
Symmetry-distinct sites (fractional):
Na1 0.000 0.000 0.000 x2
Zr1 0.179 0.321 0.500 x4
Ti1 0.113 0.613 0.000 x4

## Properties
Density, g/cm³: 4.5
E, eV per formula unit: -32.2
ΔH_f (0 K), eV/atom: 0.393
ΔE to the lowest computed polymorph, eV per atom: 0.0000


6.
# NaZrTi3

An optimized crystal structure of NaZrTi3 (GGA-PBE, Alexandria via LeMat-Bulk).

Lattice parameters (Å, degrees): 4.709 4.709 4.709 90.00 90.00 90.00
Space group Pm-3m (No. 221)
Symmetry-distinct sites (fractional):
Na1 0.000 0.000 0.000 x1
Zr1 0.500 0.500 0.500 x1
Ti1 0.000 0.000 0.500 x3

## Properties
Density, g/cm³: 4.1
E, eV per formula unit: -26.5
ΔH_f (0 K), eV/atom: 1.418
ΔE to the lowest computed polymorph, eV per atom: 0.2523


7.
# Na4ZrTi2

An optimized crystal structure of Na4ZrTi2 (GGA-PBE, Alexandria via LeMat-Bulk).

Lattice parameters (Å, degrees): 5.701 5.701 15.278 90.00 90.00 90.00
Space group I4/mmm (No. 139)
Symmetry-distinct sites (fractional):
Na1 0.000 0.000 0.213 x4
Na2 0.000 0.500 0.000 x4
Zr1 0.000 0.000 0.000 x2
Ti1 0.000 0.000 0.430 x4

## Properties
Density, g/cm³: 1.9
E, eV per formula unit: -20.4
ΔH_f (0 K), eV/atom: 1.314


8.
# NaZr2Ti

An optimized crystal structure of NaZr2Ti (GGA-PBE, Alexandria via LeMat-Bulk).

Lattice parameters (Å, degrees): 7.049 7.049 7.049 90.00 90.00 90.00
Space group Fm-3m (No. 225)
Symmetry-distinct sites (fractional):
Na1 0.000 0.000 0.000 x4
Zr1 0.250 0.250 0.250 x8
Ti1 0.000 0.000 0.500 x4

## Properties
Density, g/cm³: 4.8
E, eV per formula unit: -24.1
ΔH_f (0 K), eV/atom: 0.558
ΔE to the lowest computed polymorph, eV per atom: 0.2813


9.
# NaZrTi3

An optimized crystal structure of NaZrTi3 (GGA-PBE, Alexandria via LeMat-Bulk).

Lattice parameters (Å, degrees): 4.977 4.977 4.977 90.00 90.00 90.00
Space group Pm-3m (No. 221)
Symmetry-distinct sites (fractional):
Na1 0.000 0.000 0.000 x1
Zr1 0.500 0.500 0.500 x1
Ti1 0.000 0.500 0.500 x3

## Properties
Density, g/cm³: 3.5
E, eV per formula unit: -27.7
ΔH_f (0 K), eV/atom: 1.165
ΔE to the lowest computed polymorph, eV per atom: 0.0000


10.
# Na3ZrTi

An optimized crystal structure of Na3ZrTi (GGA-PBE, Alexandria via LeMat-Bulk).

Lattice parameters (Å, degrees): 5.745 5.745 5.745 90.00 90.00 90.00
Space group Pm-3m (No. 221)
Symmetry-distinct sites (fractional):
Na1 0.000 0.000 0.500 x3
Zr1 0.000 0.000 0.000 x1
Ti1 0.500 0.500 0.500 x1

## Properties
Density, g/cm³: 1.8
E, eV per formula unit: -11.2
ΔH_f (0 K), eV/atom: 1.834
ΔE to the lowest computed polymorph, eV per atom: 0.2846


11.
# NaZr2Ti

An optimized crystal structure of NaZr2Ti (GGA-PBE, Alexandria via LeMat-Bulk).

Lattice parameters (Å, degrees): 4.195 4.195 20.982 90.00 90.00 90.00
Space group I-42d (No. 122)
Symmetry-distinct sites (fractional):
Na1 0.000 0.000 0.000 x4
Zr1 0.239 0.250 0.625 x8
Ti1 0.000 0.000 0.500 x4

## Properties
Density, g/cm³: 4.6
E, eV per formula unit: -22.7
ΔH_f (0 K), eV/atom: 0.891
ΔE to the lowest computed polymorph, eV per atom: 0.6140


12.
# Na3ZrTi

An optimized crystal structure of Na3ZrTi (GGA-PBE, Alexandria via LeMat-Bulk).

Lattice parameters (Å, degrees): 5.355 5.355 5.355 90.00 90.00 90.00
Space group Pm-3m (No. 221)
Symmetry-distinct sites (fractional):
Na1 0.000 0.000 0.500 x3
Zr1 0.500 0.500 0.500 x1
Ti1 0.000 0.000 0.000 x1

## Properties
Density, g/cm³: 2.2
E, eV per formula unit: -12.7
ΔH_f (0 K), eV/atom: 1.549
ΔE to the lowest computed polymorph, eV per atom: 0.0000


13.
# Na2ZrTi

An optimized crystal structure of Na2ZrTi (GGA-PBE, Alexandria via LeMat-Bulk).

Lattice parameters (Å, degrees): 8.482 8.482 5.291 90.00 90.00 90.00
Space group I-42d (No. 122)
Symmetry-distinct sites (fractional):
Na1 0.236 0.250 0.125 x8
Zr1 0.000 0.000 0.500 x4
Ti1 0.000 0.000 0.000 x4

## Properties
Density, g/cm³: 3.2
E, eV per formula unit: -15.1
ΔH_f (0 K), eV/atom: 0.987
ΔE to the lowest computed polymorph, eV per atom: 0.0000


14.
# NaZr2Ti2

An optimized crystal structure of NaZr2Ti2 (GGA-PBE, Alexandria via LeMat-Bulk).

Lattice parameters (Å, degrees): 8.535 8.535 3.084 90.00 90.00 90.00
Space group P4/mbm (No. 127)
Symmetry-distinct sites (fractional):
Na1 0.000 0.000 0.000 x2
Zr1 0.146 0.354 0.000 x4
Ti1 0.139 0.639 0.500 x4

## Properties
Density, g/cm³: 4.5
E, eV per formula unit: -31.9
ΔH_f (0 K), eV/atom: 0.453
ΔE to the lowest computed polymorph, eV per atom: 0.0598


15.
# NaZr2Ti

An optimized crystal structure of NaZr2Ti (GGA-PBE, Alexandria via LeMat-Bulk).

Lattice parameters (Å, degrees): 3.1032 3.1032 33.9250 90.00 90.00 120.00
Space group R-3m (No. 166, hexagonal axes)
Symmetry-distinct sites (fractional):
Na1 0.0000 0.0000 0.0000 x3
Zr1 0.0000 0.0000 0.0959 x6
Ti1 0.0000 0.0000 0.5000 x3

## Properties
Density, g/cm³: 4.5
E, eV per formula unit: -25.2
ΔH_f (0 K), eV/atom: 0.277
ΔE to the lowest computed polymorph, eV per atom: 0.0000


16.
# Na2ZrTi

An optimized crystal structure of Na2ZrTi (GGA-PBE, Alexandria via LeMat-Bulk).

Lattice parameters (Å, degrees): 7.205 7.205 7.205 90.00 90.00 90.00
Space group Fm-3m (No. 225)
Symmetry-distinct sites (fractional):
Na1 0.250 0.250 0.250 x8
Zr1 0.000 0.000 0.000 x4
Ti1 0.000 0.000 0.500 x4

## Properties
Density, g/cm³: 3.3
E, eV per formula unit: -14.9
ΔH_f (0 K), eV/atom: 1.045
ΔE to the lowest computed polymorph, eV per atom: 0.0589


17.
# Na2Tl3

An optimized crystal structure of Na2Tl3 (GGA-PBE, Alexandria via LeMat-Bulk).

Lattice parameters (Å, degrees): 6.558 10.763 8.968 90.00 90.00 90.00
Space group Cmce (No. 64)
Symmetry-distinct sites (fractional):
Na1 0.000 0.128 0.100 x8
Tl1 0.000 0.000 0.500 x4
Tl2 0.250 0.144 0.750 x8

## Properties
Density, g/cm³: 6.9
E, eV per formula unit: -9.9
ΔH_f (0 K), eV/atom: -0.039
ΔE to the lowest computed polymorph, eV per atom: 0.0000


18.
# Na3Tl

An optimized crystal structure of Na3Tl (GGA-PBE, Alexandria via LeMat-Bulk).

Lattice parameters (Å, degrees): 4.974 4.974 4.974 90.00 90.00 90.00
Space group Pm-3m (No. 221)
Symmetry-distinct sites (fractional):
Na1 0.000 0.000 0.500 x3
Tl1 0.500 0.500 0.500 x1

## Properties
Density, g/cm³: 3.7
E, eV per formula unit: -6.6
ΔH_f (0 K), eV/atom: -0.071
ΔE to the lowest computed polymorph, eV per atom: 0.0079


19.
# Na7Tl3

An optimized crystal structure of Na7Tl3 (GGA-PBE, Alexandria via LeMat-Bulk).

Lattice parameters (Å, degrees): 10.6127 10.6127 6.5730 90.00 90.00 120.00
Space group P6_3mc (No. 186)
Symmetry-distinct sites (fractional):
Na1 0.0373 0.5187 0.0000 x6
Na2 0.1263 0.2527 0.7805 x6
Na3 0.3333 0.6667 0.6898 x2
Tl1 0.2159 0.4318 0.3045 x6

## Properties
Density, g/cm³: 4.0
E, eV per formula unit: -17.0
ΔH_f (0 K), eV/atom: -0.062
ΔE to the lowest computed polymorph, eV per atom: 0.0247


20.
# Na2Tl3

An optimized crystal structure of Na2Tl3 (GGA-PBE, Alexandria via LeMat-Bulk).

Lattice parameters (Å, degrees): 8.1693 8.1693 8.7581 90.00 90.00 120.00
Space group R32 (No. 155, hexagonal axes)
Symmetry-distinct sites (fractional):
Na1 0.0000 0.0000 0.1872 x6
Tl1 0.0000 0.2293 0.5000 x9

## Properties
Density, g/cm³: 6.5
E, eV per formula unit: -9.5
ΔH_f (0 K), eV/atom: 0.039
ΔE to the lowest computed polymorph, eV per atom: 0.0778